Entry 1:
## TbPm2Y3Sb6 (PBE)

Data for a geometry-optimized TbPm2Y3Sb6 structure.

Cell and atoms, written as extended XYZ:
```
12
Lattice="3.836 -6.644 0.000 3.836 6.644 0.000 -2.556 0.000 7.225" Properties=species:S:1:pos:R:3 pbc="T T T"
Tb 0.000 0.000 0.000
Pm 3.836 2.208 0.000
Pm 3.836 -2.208 0.000
Y 2.558 4.410 3.612
Y 2.558 0.000 3.612
Y 2.558 -4.410 3.612
Sb 1.265 2.194 1.835
Sb -0.026 0.000 5.379
Sb 1.265 -2.194 1.835
Sb 3.850 2.194 5.389
Sb 5.141 0.000 1.846
Sb 3.850 -2.194 5.389
```

## Properties
calculated volume	368.23	Å³/cell
ΔE_f (raw)	-1168	meV per atom



Entry 2:
## Er2InGaO6 (PBE)

Data for a geometry-optimized Er2InGaO6 structure.

Cell and atoms, written as extended XYZ:
```
10
Lattice="5.241 0.000 0.000 0.000 5.241 0.000 0.000 0.000 5.098" Properties=species:S:1:pos:R:3 pbc="T T T"
Er 0.000 2.621 0.000
Er 2.621 0.000 0.000
In 0.000 0.000 2.928
Ga 2.621 2.621 3.057
O 0.000 0.000 0.885
O 1.354 1.354 3.856
O 1.354 3.887 3.856
O 2.621 2.621 1.197
O 3.887 1.354 3.856
O 3.887 3.887 3.856
```

## Properties
calculated volume	140.03	Å³/cell
ΔE_f (raw)	-2439	meV per atom



Entry 3:
## Mg4TlSn5 (PBE)

Data for a geometry-optimized Mg4TlSn5 structure.

Cell and atoms, written as extended XYZ:
```
10
Lattice="3.355 0.000 0.000 0.000 3.355 0.000 0.000 0.000 22.444" Properties=species:S:1:pos:R:3 pbc="T T T"
Mg 0.000 0.000 2.120
Mg 0.000 0.000 6.367
Mg 0.000 0.000 16.077
Mg 0.000 0.000 20.324
Tl 0.000 0.000 11.222
Sn 1.677 1.677 0.000
Sn 1.677 1.677 4.265
Sn 1.677 1.677 8.484
Sn 1.677 1.677 13.960
Sn 1.677 1.677 18.179
```

## Properties
calculated volume	252.61	Å³/cell
energy of formation	-0.0990	eV/atom



Entry 4:
## LaInGaPd (PBE)

Data for a geometry-optimized LaInGaPd structure.

Cell and atoms, written as extended XYZ:
```
4
Lattice="0.000 3.544 3.544 3.544 0.000 3.544 3.544 3.544 0.000" Properties=species:S:1:pos:R:3 pbc="T T T"
La 0.000 0.000 0.000
In 3.544 3.544 3.544
Ga 5.315 5.315 5.315
Pd 1.772 1.772 1.772
```

## Properties
calculated volume	89.00	Å³/cell
energy of formation	-0.6145	eV/atom



Entry 5:
## AsOs2Cl (PBE)

Data for a geometry-optimized AsOs2Cl structure.

Cell and atoms, written as extended XYZ:
```
4
Lattice="0.000 3.090 3.090 3.090 0.000 3.090 3.090 3.090 0.000" Properties=species:S:1:pos:R:3 pbc="T T T"
As 0.000 0.000 0.000
Os 1.545 1.545 1.545
Os 4.635 4.635 4.635
Cl 3.090 3.090 3.090
```

## Properties
calculated volume	58.99	Å³/cell
relative energy among the computed polymorphs	299	kJ/mol of formula units
ΔE_f (raw)	1052	meV per atom



Entry 6:
## YBePt3 (PBE)

Data for a geometry-optimized YBePt3 structure.

Cell and atoms, written as extended XYZ:
```
20
Lattice="0.000 5.758 5.758 5.758 0.000 5.758 5.758 5.758 0.000" Properties=species:S:1:pos:R:3 pbc="T T T"
Y 0.000 0.000 0.000
Y 2.879 2.879 0.000
Y 2.879 0.000 2.879
Y 0.000 2.879 2.879
Be 5.758 2.879 2.879
Be 2.879 5.758 2.879
Be 2.879 2.879 5.758
Be 5.758 5.758 5.758
Pt 4.318 4.318 1.931
Pt 4.318 1.931 4.318
Pt 6.706 4.318 4.318
Pt 7.197 7.197 4.810
Pt 7.197 4.810 7.197
Pt 9.585 7.197 7.197
Pt 1.931 4.318 4.318
Pt 4.318 6.706 4.318
Pt 4.318 4.318 6.706
Pt 4.810 7.197 7.197
Pt 7.197 9.585 7.197
Pt 7.197 7.197 9.585
```

## Properties
calculated volume	381.78	Å³/cell
energy of formation	-0.5892	eV/atom
relative energy among the computed polymorphs	177	kJ/mol of formula units